# 1
CsCu | GGA-PBE | relaxed

The structure in CIF format:
```
data_CsCu
_cell_length_a 9.986
_cell_length_b 9.986
_cell_length_c 9.986
_cell_angle_alpha 90.00
_cell_angle_beta 90.00
_cell_angle_gamma 90.00
_space_group_name_H-M_alt 'P m -3 n'
_space_group_IT_number 223
_space_group_name_Hall '-P 4n 2 3'
loop_
_atom_site_label
_atom_site_fract_x
_atom_site_fract_y
_atom_site_fract_z
_atom_site_occupancy
Cs1 0.000 0.250 0.500 1
Cu1 0.000 0.500 0.250 1
```

Values from the calculation:
magnetic moment = 1.2 μB per cell
crystal system = cubic
formation enthalpy at 0 K = 114 kJ/mol of formula units

***

# 2
Mg2BiAu | GGA-PBE | relaxed

The structure in CIF format:
```
data_Mg2BiAu
_cell_length_a 3.421
_cell_length_b 3.421
_cell_length_c 7.745
_cell_angle_alpha 90.00
_cell_angle_beta 90.00
_cell_angle_gamma 90.00
_space_group_name_H-M_alt 'P 4/m m m'
_space_group_IT_number 123
_space_group_name_Hall '-P 4 2'
loop_
_atom_site_label
_atom_site_fract_x
_atom_site_fract_y
_atom_site_fract_z
_atom_site_occupancy
Mg1 0.000 0.000 0.196 1
Bi1 0.500 0.500 0.500 1
Au1 0.500 0.500 0.000 1
```

Values from the calculation:
magnetic moment = 0.0 μB per cell
crystal system = tetragonal
formation enthalpy at 0 K = -140 kJ/mol of formula units

***

# 3
Ho4GaTe2Pb | GGA-PBE | relaxed

The structure in CIF format:
```
data_Ho4GaTe2Pb
_cell_length_a 7.307
_cell_length_b 4.255
_cell_length_c 7.782
_cell_angle_alpha 90.00
_cell_angle_beta 108.51
_cell_angle_gamma 90.00
_space_group_name_H-M_alt 'P 1 2/m 1'
_space_group_IT_number 10
_space_group_name_Hall '-P 2y'
loop_
_atom_site_label
_atom_site_fract_x
_atom_site_fract_y
_atom_site_fract_z
_atom_site_occupancy
Ho1 0.235 0.000 0.235 1
Ho2 0.244 0.500 0.760 1
Ga1 0.000 0.500 0.000 1
Te1 0.000 0.000 0.500 1
Te2 0.500 0.500 0.500 1
Pb1 0.500 0.000 0.000 1
```

Values from the calculation:
magnetic moment = 0.0 μB per cell
formation energy from raw total energies = -892 meV/atom
crystal system = monoclinic

***

# 4
BaZnCo2 | GGA-PBE | relaxed

The structure in CIF format:
```
data_BaZnCo2
_cell_length_a 3.837
_cell_length_b 3.935
_cell_length_c 11.709
_cell_angle_alpha 90.00
_cell_angle_beta 90.00
_cell_angle_gamma 90.00
_space_group_name_H-M_alt 'A m m 2'
_space_group_IT_number 38
_space_group_name_Hall 'A 2 -2'
loop_
_atom_site_label
_atom_site_fract_x
_atom_site_fract_y
_atom_site_fract_z
_atom_site_occupancy
Ba1 0.000 0.000 0.000 1
Zn1 0.500 0.000 0.729 1
Co1 0.000 0.000 0.264 1
Co2 0.500 0.000 0.354 1
```

Values from the calculation:
magnetic moment = 4.6 μB per cell
crystal system = orthorhombic
formation enthalpy at 0 K = 138 kJ/mol of formula units

***

# 5
Pr3Th3WN8 | GGA-PBE | relaxed

The structure in CIF format:
```
data_Pr3Th3WN8
_cell_length_a 7.1074
_cell_length_b 7.1074
_cell_length_c 17.6290
_cell_angle_alpha 90.00
_cell_angle_beta 90.00
_cell_angle_gamma 120.00
_space_group_name_H-M_alt 'R -3 m'
_space_group_IT_number 166
_space_group_name_Hall '-R 3 2"'
loop_
_atom_site_label
_atom_site_fract_x
_atom_site_fract_y
_atom_site_fract_z
_atom_site_occupancy
Pr1 0.0000 0.5000 0.0000 1
Th1 0.0000 0.5000 0.5000 1
W1 0.0000 0.0000 0.5000 1
N1 0.0000 0.0000 0.2446 1
N2 0.0457 0.5229 0.2332 1
```

Values from the calculation:
magnetic moment = 0.0 μB per cell
formation energy from raw total energies = -1225 meV/atom
crystal system = trigonal

***

# 6
Sc13Tl2 | GGA-PBE | relaxed

The structure in CIF format:
```
data_Sc13Tl2
_cell_length_a 6.231
_cell_length_b 7.960
_cell_length_c 8.134
_cell_angle_alpha 67.18
_cell_angle_beta 78.80
_cell_angle_gamma 82.32
_space_group_name_H-M_alt 'P -1'
_space_group_IT_number 2
_space_group_name_Hall '-P 1'
loop_
_atom_site_label
_atom_site_fract_x
_atom_site_fract_y
_atom_site_fract_z
_atom_site_occupancy
Sc1 0.000 0.000 0.000 1
Sc2 0.121 0.481 0.751 1
Sc3 0.206 0.222 0.158 1
Sc4 0.266 0.936 0.589 1
Sc5 0.308 0.653 0.978 1
Sc6 0.379 0.410 0.388 1
Sc7 0.481 0.148 0.796 1
Tl1 0.061 0.768 0.382 1
```

Values from the calculation:
magnetic moment = 3.1 μB per cell
crystal system = triclinic
formation enthalpy at 0 K = -81 kJ/mol of formula units

***

# 7
CoNi3Rh2 | GGA-PBE | relaxed

The structure in CIF format:
```
data_CoNi3Rh2
_cell_length_a 12.688
_cell_length_b 2.625
_cell_length_c 4.460
_cell_angle_alpha 90.00
_cell_angle_beta 95.96
_cell_angle_gamma 90.00
_space_group_name_H-M_alt 'C 1 2/m 1'
_space_group_IT_number 12
_space_group_name_Hall '-C 2y'
loop_
_atom_site_label
_atom_site_fract_x
_atom_site_fract_y
_atom_site_fract_z
_atom_site_occupancy
Co1 0.000 0.000 0.000 1
Ni1 0.000 0.500 0.500 1
Ni2 0.163 0.000 0.390 1
Rh1 0.164 0.500 0.886 1
```

Values from the calculation:
magnetic moment = 11.0 μB per cell
crystal system = monoclinic
formation enthalpy at 0 K = 31 kJ/mol of formula units

***

# 8
TlZn2Cr | GGA-PBE | relaxed

The structure in CIF format:
```
data_TlZn2Cr
_cell_length_a 3.1650
_cell_length_b 3.1650
_cell_length_c 26.8997
_cell_angle_alpha 90.00
_cell_angle_beta 90.00
_cell_angle_gamma 120.00
_space_group_name_H-M_alt 'R -3 m'
_space_group_IT_number 166
_space_group_name_Hall '-R 3 2"'
loop_
_atom_site_label
_atom_site_fract_x
_atom_site_fract_y
_atom_site_fract_z
_atom_site_occupancy
Tl1 0.0000 0.0000 0.0000 1
Zn1 0.0000 0.0000 0.2402 1
Cr1 0.0000 0.0000 0.5000 1
```

Values from the calculation:
magnetic moment = 11.3 μB per cell
crystal system = trigonal
formation enthalpy at 0 K = 153 kJ/mol of formula units

***

# 9
Na5ThS5 | GGA-PBE | relaxed

The structure in CIF format:
```
data_Na5ThS5
_cell_length_a 13.478
_cell_length_b 5.631
_cell_length_c 8.016
_cell_angle_alpha 90.00
_cell_angle_beta 108.18
_cell_angle_gamma 90.00
_space_group_name_H-M_alt 'C 1 2/m 1'
_space_group_IT_number 12
_space_group_name_Hall '-C 2y'
loop_
_atom_site_label
_atom_site_fract_x
_atom_site_fract_y
_atom_site_fract_z
_atom_site_occupancy
Na1 0.000 0.000 0.000 1
Na2 0.184 0.500 0.361 1
Na3 0.194 0.500 0.828 1
Th1 0.000 0.000 0.500 1
S1 0.000 0.500 0.500 1
S2 0.147 0.000 0.325 1
S3 0.157 0.000 0.822 1
```

Values from the calculation:
magnetic moment = 1.4 μB per cell
formation energy from raw total energies = -1249 meV/atom
crystal system = monoclinic

***

# 10
SrCuAu | GGA-PBE | relaxed

The structure in CIF format:
```
data_SrCuAu
_cell_length_a 4.4932
_cell_length_b 4.4932
_cell_length_c 4.2186
_cell_angle_alpha 90.00
_cell_angle_beta 90.00
_cell_angle_gamma 120.00
_space_group_name_H-M_alt 'P -6 m 2'
_space_group_IT_number 187
_space_group_name_Hall 'P -6 2'
loop_
_atom_site_label
_atom_site_fract_x
_atom_site_fract_y
_atom_site_fract_z
_atom_site_occupancy
Sr1 0.0000 0.0000 0.0000 1
Cu1 0.3333 0.6667 0.5000 1
Au1 0.6667 0.3333 0.5000 1
```

Values from the calculation:
magnetic moment = 0.0 μB per cell
crystal system = hexagonal
formation enthalpy at 0 K = -137 kJ/mol of formula units

***

# 11
InRhSe2Br | GGA-PBE | relaxed

The structure in CIF format:
```
data_InRhSe2Br
_cell_length_a 4.906
_cell_length_b 4.906
_cell_length_c 5.366
_cell_angle_alpha 90.00
_cell_angle_beta 90.00
_cell_angle_gamma 90.00
_space_group_name_H-M_alt 'P 4/m m m'
_space_group_IT_number 123
_space_group_name_Hall '-P 4 2'
loop_
_atom_site_label
_atom_site_fract_x
_atom_site_fract_y
_atom_site_fract_z
_atom_site_occupancy
In1 0.000 0.000 0.000 1
Rh1 0.500 0.500 0.500 1
Se1 0.000 0.500 0.500 1
Br1 0.500 0.500 0.000 1
```

Values from the calculation:
magnetic moment = 1.1 μB per cell
formation energy from raw total energies = 0 meV/atom
crystal system = tetragonal

***

# 12
AcPr2Re | GGA-PBE | relaxed

The structure in CIF format:
```
data_AcPr2Re
_cell_length_a 3.5135
_cell_length_b 3.5135
_cell_length_c 35.5505
_cell_angle_alpha 90.00
_cell_angle_beta 90.00
_cell_angle_gamma 120.00
_space_group_name_H-M_alt 'R -3 m'
_space_group_IT_number 166
_space_group_name_Hall '-R 3 2"'
loop_
_atom_site_label
_atom_site_fract_x
_atom_site_fract_y
_atom_site_fract_z
_atom_site_occupancy
Ac1 0.0000 0.0000 0.0000 1
Pr1 0.0000 0.0000 0.4264 1
Re1 0.0000 0.0000 0.5000 1
```

Values from the calculation:
magnetic moment = 0.0 μB per cell
crystal system = trigonal
formation enthalpy at 0 K = 392 kJ/mol of formula units

***

# 13
Ag3Te8Pt3 | GGA-PBE | relaxed

The structure in CIF format:
```
data_Ag3Te8Pt3
_cell_length_a 8.2402
_cell_length_b 8.2402
_cell_length_c 20.1489
_cell_angle_alpha 90.00
_cell_angle_beta 90.00
_cell_angle_gamma 120.00
_space_group_name_H-M_alt 'R -3 m'
_space_group_IT_number 166
_space_group_name_Hall '-R 3 2"'
loop_
_atom_site_label
_atom_site_fract_x
_atom_site_fract_y
_atom_site_fract_z
_atom_site_occupancy
Ag1 0.0000 0.0000 0.0000 1
Ag2 0.0000 0.0000 0.3791 1
Te1 0.0000 0.0000 0.2350 1
Te2 0.0318 0.5159 0.7594 1
Pt1 0.0000 0.5000 0.5000 1
```

Values from the calculation:
magnetic moment = 0.0 μB per cell
formation energy from raw total energies = -198 meV/atom
crystal system = trigonal

***

# 14
ZnRePt2 | GGA-PBE | relaxed

The structure in CIF format:
```
data_ZnRePt2
_cell_length_a 4.870
_cell_length_b 2.701
_cell_length_c 4.875
_cell_angle_alpha 90.00
_cell_angle_beta 109.64
_cell_angle_gamma 90.00
_space_group_name_H-M_alt 'P 1 2/m 1'
_space_group_IT_number 10
_space_group_name_Hall '-P 2y'
loop_
_atom_site_label
_atom_site_fract_x
_atom_site_fract_y
_atom_site_fract_z
_atom_site_occupancy
Zn1 0.000 0.000 0.000 1
Re1 0.500 0.500 0.000 1
Pt1 0.000 0.500 0.500 1
Pt2 0.500 0.000 0.500 1
```

Values from the calculation:
magnetic moment = 0.0 μB per cell
crystal system = monoclinic
formation enthalpy at 0 K = 7 kJ/mol of formula units

***

# 15
AcNdBr4 | GGA-PBE | relaxed

The structure in CIF format:
```
data_AcNdBr4
_cell_length_a 8.389
_cell_length_b 17.561
_cell_length_c 7.358
_cell_angle_alpha 90.00
_cell_angle_beta 124.35
_cell_angle_gamma 90.00
_space_group_name_H-M_alt 'C 1 2/c 1'
_space_group_IT_number 15
_space_group_name_Hall '-C 2yc'
loop_
_atom_site_label
_atom_site_fract_x
_atom_site_fract_y
_atom_site_fract_z
_atom_site_occupancy
Ac1 0.000 0.065 0.250 1
Nd1 0.000 0.445 0.750 1
Br1 0.233 0.321 0.745 1
Br2 0.242 0.426 0.239 1
```

Values from the calculation:
magnetic moment = 0.0 μB per cell
formation energy from raw total energies = -1610 meV/atom
crystal system = monoclinic

***

# 16
KLaMg6O8 | GGA-PBE | relaxed

The structure in CIF format:
```
data_KLaMg6O8
_cell_length_a 4.635
_cell_length_b 4.635
_cell_length_c 9.108
_cell_angle_alpha 90.00
_cell_angle_beta 90.00
_cell_angle_gamma 90.00
_space_group_name_H-M_alt 'P 4/m m m'
_space_group_IT_number 123
_space_group_name_Hall '-P 4 2'
loop_
_atom_site_label
_atom_site_fract_x
_atom_site_fract_y
_atom_site_fract_z
_atom_site_occupancy
K1 0.000 0.000 0.000 1
La1 0.500 0.500 0.000 1
Mg1 0.000 0.000 0.500 1
Mg2 0.000 0.500 0.276 1
Mg3 0.500 0.500 0.500 1
O1 0.000 0.000 0.281 1
O2 0.000 0.500 0.000 1
O3 0.000 0.500 0.500 1
O4 0.500 0.500 0.274 1
```

Values from the calculation:
magnetic moment = 0.0 μB per cell
formation energy from raw total energies = -2385 meV/atom
crystal system = tetragonal

***

# 17
BaCaRe | GGA-PBE | relaxed

The structure in CIF format:
```
data_BaCaRe
_cell_length_a 7.405
_cell_length_b 7.405
_cell_length_c 7.405
_cell_angle_alpha 90.00
_cell_angle_beta 90.00
_cell_angle_gamma 90.00
_space_group_name_H-M_alt 'F -4 3 m'
_space_group_IT_number 216
_space_group_name_Hall 'F -4 2 3'
loop_
_atom_site_label
_atom_site_fract_x
_atom_site_fract_y
_atom_site_fract_z
_atom_site_occupancy
Ba1 0.000 0.000 0.000 1
Ca1 0.250 0.250 0.750 1
Re1 0.250 0.250 0.250 1
```

Values from the calculation:
magnetic moment = 11.4 μB per cell
crystal system = cubic
formation enthalpy at 0 K = 506 kJ/mol of formula units

***

# 18
Ce2Sm5Ga4 | GGA-PBE | relaxed

The structure in CIF format:
```
data_Ce2Sm5Ga4
_cell_length_a 3.571
_cell_length_b 7.661
_cell_length_c 22.178
_cell_angle_alpha 90.00
_cell_angle_beta 90.00
_cell_angle_gamma 90.00
_space_group_name_H-M_alt 'I m m m'
_space_group_IT_number 71
_space_group_name_Hall '-I 2 2'
loop_
_atom_site_label
_atom_site_fract_x
_atom_site_fract_y
_atom_site_fract_z
_atom_site_occupancy
Ce1 0.000 0.000 0.224 1
Sm1 0.000 0.220 0.365 1
Sm2 0.000 0.500 0.000 1
Ga1 0.000 0.000 0.076 1
Ga2 0.000 0.327 0.500 1
```

Values from the calculation:
magnetic moment = 5.4 μB per cell
crystal system = orthorhombic
formation enthalpy at 0 K = -119 kJ/mol of formula units

***

# 19
PRu3Pb | GGA-PBE | relaxed

The structure in CIF format:
```
data_PRu3Pb
_cell_length_a 4.988
_cell_length_b 4.988
_cell_length_c 4.988
_cell_angle_alpha 90.00
_cell_angle_beta 90.00
_cell_angle_gamma 90.00
_space_group_name_H-M_alt 'P m -3 m'
_space_group_IT_number 221
_space_group_name_Hall '-P 4 2 3'
loop_
_atom_site_label
_atom_site_fract_x
_atom_site_fract_y
_atom_site_fract_z
_atom_site_occupancy
P1 0.000 0.000 0.000 1
Ru1 0.000 0.500 0.500 1
Pb1 0.500 0.500 0.500 1
```

Values from the calculation:
magnetic moment = 5.4 μB per cell
crystal system = cubic
formation enthalpy at 0 K = 1176 kJ/mol of formula units

***

# 20
Pr2Dy5Er | GGA-PBE | relaxed

The structure in CIF format:
```
data_Pr2Dy5Er
_cell_length_a 5.073
_cell_length_b 5.073
_cell_length_c 20.191
_cell_angle_alpha 90.00
_cell_angle_beta 90.00
_cell_angle_gamma 90.00
_space_group_name_H-M_alt 'I 4/m m m'
_space_group_IT_number 139
_space_group_name_Hall '-I 4 2'
loop_
_atom_site_label
_atom_site_fract_x
_atom_site_fract_y
_atom_site_fract_z
_atom_site_occupancy
Pr1 0.000 0.000 0.250 1
Dy1 0.000 0.000 0.000 1
Dy2 0.000 0.500 0.122 1
Er1 0.000 0.000 0.500 1
```

Values from the calculation:
magnetic moment = 0.0 μB per cell
crystal system = tetragonal
formation enthalpy at 0 K = 19 kJ/mol of formula units